Computed, not measured: crystalline MgTePbI2 at its relaxed geometry at the PBE level of DFT.

Lattice parameters (Å, degrees): 6.109 6.109 6.075 90.00 90.00 90.00
Space group P4/mmm (No. 123)
Unique sites:
Mg 0.000 0.000 0.000 (multiplicity 1)
Te 0.500 0.500 0.000 (multiplicity 1)
Pb 0.500 0.500 0.500 (multiplicity 1)
I 0.000 0.500 0.500 (multiplicity 2)

Summary:
Energy relative to the elements, uncorrected = 26 kJ/mol of formula units
N(E_F) = 0.48 states/eV per atom
E above lowest polymorph = 1.98 eV per formula unit